(1)
Computed, not measured: an optimized crystal structure of ErCo4Ir at the PBE level of DFT.

Output
- calculated formation energy (eV/atom) = -0.15
- magnetization (μB per cell) = 6.88
- mass density (g cm⁻³) = 12.1
- space-group type = No. 216

Cell: 4.875 4.875 4.875 Å, 60.00 60.00 60.00°
Each line ends with the local moment (μB).
Atoms (fractional coordinates):
Ir 0.250 0.250 0.250  0.66
Co 0.625 0.625 0.126  1.64
Co 0.625 0.126 0.625  1.64
Co 0.625 0.625 0.625  1.64
Co 0.126 0.625 0.625  1.64
Er 0.000 0.000 0.000  -0.31

---

(2)
Computed, not measured: an optimized crystal structure of HfGaTc at the PBE level of DFT.

Output
- calculated formation energy (eV/atom) = -0.39
- magnetization (μB per cell) = 0.00
- mass density (g cm⁻³) = 11.1
- space-group type = No. 12

Cell: 6.034 3.400 10.269 Å, 90.00 100.37 90.00°
Atoms (fractional coordinates):
Hf 0.301 0.000 0.659
Hf 0.699 0.000 0.341
Hf 0.301 0.500 0.159
Hf 0.699 0.500 0.841
Ga 0.790 0.000 0.632
Ga 0.210 0.000 0.368
Ga 0.790 0.500 0.132
Ga 0.210 0.500 0.868
Tc 0.500 0.500 0.500
Tc 0.500 0.000 0.000
Tc 0.000 0.000 0.000
Tc 0.000 0.500 0.500